1.
Compound: Tb2TmVO6
Source: Alexandria via LeMat-Bulk
Functional: GGA+U
Structure: optimized geometry

The total energy is -82.532 eV/cell. Its calculated density is 7.80 g cm⁻³.

Cell: 5.622 5.647 5.833 Å, 118.31 90.14 119.56°
Space group P1 (No. 1)
Asymmetric unit:
1 Tb 0.000 0.000 0.000 [1 per cell]
2 Tb 0.495 0.994 0.487 [1 per cell]
3 Tm 0.277 0.554 0.832 [1 per cell]
4 V 0.786 0.569 0.353 [1 per cell]
5 O 0.057 0.481 0.148 [1 per cell]
6 O 0.150 0.055 0.637 [1 per cell]
7 O 0.417 0.074 0.142 [1 per cell]
8 O 0.581 0.725 0.629 [1 per cell]
9 O 0.662 0.720 0.148 [1 per cell]
10 O 0.900 0.485 0.633 [1 per cell]

2.
Compound: TbTmV2O8
Source: Alexandria via LeMat-Bulk
Functional: GGA+U
Structure: optimized geometry

The total energy is -193.238 eV/cell. Its calculated density is 5.67 g cm⁻³.

Cell: 7.181 7.181 6.335 Å, 90.00 90.00 90.00°
Space group I-4m2 (No. 119)
Asymmetric unit:
1 Tb 0.000 0.000 0.000 [2 per cell]
2 Tm 0.000 0.500 0.250 [2 per cell]
3 V 0.000 0.000 0.500 [2 per cell]
4 V 0.000 0.500 0.750 [2 per cell]
5 O 0.000 0.187 0.325 [8 per cell]
6 O 0.000 0.316 0.928 [8 per cell]

DOS(E_F) (states/eV per cell)
0.00 0.00